# 1
A plane-wave DFT calculation with PBE was carried out for crystalline La2RePt at its relaxed geometry.

Summary:
The calculation puts the volume at 25.924 Å³/atom. The calculation puts the calculated total energy at -7.33 eV/atom. Its formation energy is -0.25 eV/atom. As for the polymorph energy (0 for the lowest one): 0.0000 eV/atom.

a = 4.3338 Å, b = 5.8768 Å, c = 5.8768 Å
α = 43.85°, β = 90.00°, γ = 90.00°
Fractional positions:
La  0.0000  0.0000  0.0000
La  0.5000  0.2940  0.2940
Re  0.5000  0.5828  0.5828
Pt  0.0000  0.7114  0.7114

***

# 2
A plane-wave DFT calculation with PBE was carried out for crystalline Cs2InH4 at its relaxed geometry.

Summary:
The calculation puts the volume at 26.927 Å³/atom. The calculation puts the calculated total energy at -2.58 eV/atom. As for the polymorph energy (0 for the lowest one): 0.0267 eV/atom.

a = 6.1412 Å, b = 9.5469 Å, c = 6.4299 Å
α = 90.00°, β = 90.00°, γ = 90.00°
Fractional positions:
Cs  0.2500  0.0083  0.2299
Cs  0.2500  0.4917  0.2299
Cs  0.7500  0.5083  0.7701
Cs  0.7500  0.9917  0.7701
In  0.2500  0.2500  0.7419
In  0.7500  0.7500  0.2581
H  0.0203  0.2500  0.9283
H  0.2500  0.0469  0.7050
H  0.2500  0.4531  0.7050
H  0.4797  0.2500  0.9283
H  0.5203  0.7500  0.0717
H  0.7500  0.5469  0.2950
H  0.7500  0.9531  0.2950
H  0.9797  0.7500  0.0717

***

# 3
A plane-wave DFT calculation with PBE was carried out for crystalline LaZn3I at its relaxed geometry.

Summary:
The calculation puts the volume at 44.395 Å³/atom. The calculation puts the calculated total energy at -1.49 eV/atom. The calculation puts the formation energy (no corrections) at 0.57 eV per atom. As for the polymorph energy (0 for the lowest one): 0.0000 eV/atom.

a = 6.0548 Å, b = 6.0548 Å, c = 6.0548 Å
α = 90.00°, β = 90.00°, γ = 90.00°
Fractional positions:
La  0.0000  0.0000  0.0000
Zn  0.0000  0.0000  0.5000
Zn  0.0000  0.5000  0.0000
Zn  0.5000  0.0000  0.0000
I  0.5000  0.5000  0.5000

***

# 4
A plane-wave DFT calculation with PBE was carried out for crystalline La2Tb3Tm3 at its relaxed geometry.

Summary:
The calculation puts the volume at 33.129 Å³/atom. The calculation puts the calculated total energy at -4.52 eV/atom. Its formation energy is 0.12 eV/atom. As for the polymorph energy (0 for the lowest one): 0.0910 eV/atom.

a = 9.0026 Å, b = 9.0026 Å, c = 16.7385 Å
α = 90.00°, β = 90.00°, γ = 157.00°
Fractional positions:
La  0.2205  0.7795  0.6510
La  0.2205  0.7795  0.8490
La  0.7795  0.2205  0.1510
La  0.7795  0.2205  0.3490
Tb  0.3592  0.6408  0.5140
Tb  0.3592  0.6408  0.9860
Tb  0.3939  0.6061  0.7500
Tb  0.6061  0.3939  0.2500
Tb  0.6408  0.3592  0.0140
Tb  0.6408  0.3592  0.4860
Tm  0.0056  0.9944  0.6003
Tm  0.0056  0.9944  0.8997
Tm  0.4215  0.5785  0.2500
Tm  0.5785  0.4215  0.7500
Tm  0.9944  0.0056  0.1003
Tm  0.9944  0.0056  0.3997

***

Q: Among the records above, which one has the highest calculated total energy?
A: LaZn3I

***

Q: Which value of polymorph energy (0 for the lowest one) does entry 4 give?
A: 0.0910 eV/atom